TiAlIn2Ga | PBE | relaxed

Its magnetic moment is 0.13 μB per atom. As for the density of states at the Fermi level: 5.559 states/eV per cell. The value obtained for the energy is -3.37 eV per atom.

The space group is P4/mmm (No. 123) and the conventional cell measures 5.129, 5.129 and 5.009 Å, with angles of 90.00, 90.00 and 90.00 degrees. The distinct sites, in fractional coordinates, are Ti at (0.000, 0.000, 0.000), Al at (0.000, 0.000, 0.500), In at (0.000, 0.500, 0.500) and Ga at (0.500, 0.500, 0.000).